Computed, not measured: crystalline Te2OsRu at its relaxed geometry at the PBE level of DFT.

Summary:
formation energy (no corrections) = 4.1 eV/f.u.
energy above the most stable polymorph in this dataset = 0.731 eV/atom
E = -5.671 eV/atom

Geometry as CIF:
```
data_Te2OsRu
_chemical_formula_sum 'Te4 Os2 Ru2'
_symmetry_space_group_name_H-M 'C m m m'
_symmetry_Int_Tables_number 65
_symmetry_space_group_name_Hall '-C 2 2'
_cell_length_a 3.1388
_cell_length_b 5.3635
_cell_length_c 9.0692
_cell_angle_alpha 90.00
_cell_angle_beta 90.00
_cell_angle_gamma 90.00
loop_
_atom_site_label
_atom_site_type_symbol
_atom_site_fract_x
_atom_site_fract_y
_atom_site_fract_z
_atom_site_occupancy
Te1 Te 0.0000 0.0000 0.2480 1
Os1 Os 0.0000 0.5000 0.5000 1
Ru1 Ru 0.0000 0.5000 0.0000 1
```

---

Computed, not measured: crystalline Te2OsRu at its relaxed geometry at the PBE level of DFT.

Summary:
formation energy (no corrections) = 1.2 eV/f.u.
energy above the most stable polymorph in this dataset = 0.000 eV/atom
E = -6.402 eV/atom

Geometry as CIF:
```
data_Te2OsRu
_chemical_formula_sum 'Te2 Os1 Ru1'
_symmetry_space_group_name_H-M 'P 1 m 1'
_symmetry_Int_Tables_number 6
_symmetry_space_group_name_Hall 'P -2y'
_cell_length_a 3.0954
_cell_length_b 4.3260
_cell_length_c 6.9359
_cell_angle_alpha 90.00
_cell_angle_beta 90.07
_cell_angle_gamma 90.00
loop_
_atom_site_label
_atom_site_type_symbol
_atom_site_fract_x
_atom_site_fract_y
_atom_site_fract_z
_atom_site_occupancy
Te1 Te 0.0000 0.0000 0.0000 1
Te2 Te 0.4990 0.5000 0.4460 1
Os1 Os 0.9996 0.5000 0.7683 1
Ru1 Ru 0.4991 0.0000 0.6734 1
```

---

Computed, not measured: crystalline Te3OsRu at its relaxed geometry at the PBE level of DFT.

Summary:
formation energy (no corrections) = 7.3 eV/f.u.
energy above the most stable polymorph in this dataset = 0.027 eV/atom
E = -4.530 eV/atom

Geometry as CIF:
```
data_Te3OsRu
_chemical_formula_sum 'Te3 Os1 Ru1'
_symmetry_space_group_name_H-M 'P m -3 m'
_symmetry_Int_Tables_number 221
_symmetry_space_group_name_Hall '-P 4 2 3'
_cell_length_a 5.0306
_cell_length_b 5.0306
_cell_length_c 5.0306
_cell_angle_alpha 90.00
_cell_angle_beta 90.00
_cell_angle_gamma 90.00
loop_
_atom_site_label
_atom_site_type_symbol
_atom_site_fract_x
_atom_site_fract_y
_atom_site_fract_z
_atom_site_occupancy
Te1 Te 0.0000 0.0000 0.5000 1
Os1 Os 0.5000 0.5000 0.5000 1
Ru1 Ru 0.0000 0.0000 0.0000 1
```

---

Computed, not measured: crystalline TeOsRu at its relaxed geometry at the PBE level of DFT.

Summary:
formation energy (no corrections) = 2.0 eV/f.u.
energy above the most stable polymorph in this dataset = 0.095 eV/atom
E = -7.225 eV/atom

Geometry as CIF:
```
data_TeOsRu
_chemical_formula_sum 'Te2 Os2 Ru2'
_symmetry_space_group_name_H-M 'I 4 m m'
_symmetry_Int_Tables_number 107
_symmetry_space_group_name_Hall 'I 4 -2'
_cell_length_a 3.0059
_cell_length_b 3.0059
_cell_length_c 11.4594
_cell_angle_alpha 90.00
_cell_angle_beta 90.00
_cell_angle_gamma 90.00
loop_
_atom_site_label
_atom_site_type_symbol
_atom_site_fract_x
_atom_site_fract_y
_atom_site_fract_z
_atom_site_occupancy
Te1 Te 0.0000 0.0000 0.0000 1
Os1 Os 0.0000 0.0000 0.6803 1
Ru1 Ru 0.0000 0.0000 0.3157 1
```

---

Computed, not measured: crystalline TeOs2Ru at its relaxed geometry at the PBE level of DFT.

Summary:
formation energy (no corrections) = 4.1 eV/f.u.
E = -7.701 eV/atom

Geometry as CIF:
```
data_TeOs2Ru
_chemical_formula_sum 'Te2 Os4 Ru2'
_symmetry_space_group_name_H-M 'C m m 2'
_symmetry_Int_Tables_number 35
_symmetry_space_group_name_Hall 'C 2 -2'
_cell_length_a 2.8611
_cell_length_b 4.9586
_cell_length_c 9.5187
_cell_angle_alpha 90.00
_cell_angle_beta 90.00
_cell_angle_gamma 90.00
loop_
_atom_site_label
_atom_site_type_symbol
_atom_site_fract_x
_atom_site_fract_y
_atom_site_fract_z
_atom_site_occupancy
Te1 Te 0.0000 0.0000 0.0000 1
Os1 Os 0.0000 0.0000 0.5097 1
Os2 Os 0.0000 0.5000 0.2816 1
Ru1 Ru 0.0000 0.5000 0.7418 1
```

---

Computed, not measured: crystalline Th6Te3Os2Ru at its relaxed geometry at the PBE level of DFT.

Summary:
formation energy (no corrections) = -10.3 eV/f.u.
E = -7.998 eV/atom

Geometry as CIF:
```
data_Th6Te3Os2Ru
_chemical_formula_sum 'Th12 Te6 Os4 Ru2'
_symmetry_space_group_name_H-M 'C 1 2/m 1'
_symmetry_Int_Tables_number 12
_symmetry_space_group_name_Hall '-C 2y'
_cell_length_a 19.5792
_cell_length_b 4.1853
_cell_length_c 9.0812
_cell_angle_alpha 90.00
_cell_angle_beta 109.70
_cell_angle_gamma 90.00
loop_
_atom_site_label
_atom_site_type_symbol
_atom_site_fract_x
_atom_site_fract_y
_atom_site_fract_z
_atom_site_occupancy
Th1 Th 0.0113 0.0000 0.2212 1
Th2 Th 0.1554 0.5000 0.1119 1
Th3 Th 0.1776 0.5000 0.5540 1
Te1 Te 0.0000 0.5000 0.5000 1
Te2 Te 0.1666 0.0000 0.8330 1
Os1 Os 0.1662 0.0000 0.3324 1
Ru1 Ru 0.0000 0.5000 0.0000 1
```

---

Computed, not measured: crystalline Th8Te3Os3Ru at its relaxed geometry at the PBE level of DFT.

Summary:
formation energy (no corrections) = -10.4 eV/f.u.
E = -8.145 eV/atom

Geometry as CIF:
```
data_Th8Te3Os3Ru
_chemical_formula_sum 'Th16 Te6 Os6 Ru2'
_symmetry_space_group_name_H-M 'C 1 2/m 1'
_symmetry_Int_Tables_number 12
_symmetry_space_group_name_Hall '-C 2y'
_cell_length_a 14.4526
_cell_length_b 8.3650
_cell_length_c 9.0798
_cell_angle_alpha 90.00
_cell_angle_beta 121.98
_cell_angle_gamma 90.00
loop_
_atom_site_label
_atom_site_type_symbol
_atom_site_fract_x
_atom_site_fract_y
_atom_site_fract_z
_atom_site_occupancy
Th1 Th 0.0183 0.2493 0.3050 1
Th2 Th 0.2307 0.0000 0.6949 1
Th3 Th 0.2333 0.5000 0.7002 1
Te1 Te 0.0000 0.0000 0.0000 1
Te2 Te 0.2500 0.2500 0.0000 1
Os1 Os 0.0000 0.5000 0.5000 1
Os2 Os 0.2500 0.2500 0.5000 1
Ru1 Ru 0.0000 0.0000 0.5000 1
```

---

Computed, not measured: crystalline TlTeOsRu2 at its relaxed geometry at the PBE level of DFT.

Summary:
formation energy (no corrections) = 14.5 eV/f.u.
E = -4.159 eV/atom

Geometry as CIF:
```
data_TlTeOsRu2
_chemical_formula_sum 'Tl1 Te1 Os1 Ru2'
_symmetry_space_group_name_H-M 'P 4/m m m'
_symmetry_Int_Tables_number 123
_symmetry_space_group_name_Hall '-P 4 2'
_cell_length_a 4.9350
_cell_length_b 4.9350
_cell_length_c 5.3441
_cell_angle_alpha 90.00
_cell_angle_beta 90.00
_cell_angle_gamma 90.00
loop_
_atom_site_label
_atom_site_type_symbol
_atom_site_fract_x
_atom_site_fract_y
_atom_site_fract_z
_atom_site_occupancy
Tl1 Tl 0.0000 0.0000 0.0000 1
Te1 Te 0.0000 0.0000 0.5000 1
Os1 Os 0.5000 0.5000 0.5000 1
Ru1 Ru 0.0000 0.5000 0.0000 1
```

---

Computed, not measured: crystalline ThOsRu at its relaxed geometry at the PBE level of DFT.

Summary:
energy above the most stable polymorph in this dataset = 0.217 eV/atom
ΔH_f (0 K) = -0.08 eV per atom
E = -9.389 eV/atom

Geometry as CIF:
```
data_ThOsRu
_chemical_formula_sum 'Th1 Os1 Ru1'
_symmetry_space_group_name_H-M 'P 3 m 1'
_symmetry_Int_Tables_number 156
_symmetry_space_group_name_Hall 'P 3 -2"'
_cell_length_a 4.2654
_cell_length_b 4.2654
_cell_length_c 4.1970
_cell_angle_alpha 90.00
_cell_angle_beta 90.00
_cell_angle_gamma 120.00
loop_
_atom_site_label
_atom_site_type_symbol
_atom_site_fract_x
_atom_site_fract_y
_atom_site_fract_z
_atom_site_occupancy
Th1 Th 0.0000 0.0000 0.0000 1
Os1 Os 0.6667 0.3333 0.5135 1
Ru1 Ru 0.3333 0.6667 0.4915 1
```

---

Computed, not measured: crystalline Th4OsRu at its relaxed geometry at the PBE level of DFT.

Summary:
ΔH_f (0 K) = -0.32 eV per atom
E = -8.686 eV/atom

Geometry as CIF:
```
data_Th4OsRu
_chemical_formula_sum 'Th8 Os2 Ru2'
_symmetry_space_group_name_H-M 'P 1 21/m 1'
_symmetry_Int_Tables_number 11
_symmetry_space_group_name_Hall '-P 2yb'
_cell_length_a 6.3072
_cell_length_b 6.9097
_cell_length_c 7.8315
_cell_angle_alpha 90.00
_cell_angle_beta 107.93
_cell_angle_gamma 90.00
loop_
_atom_site_label
_atom_site_type_symbol
_atom_site_fract_x
_atom_site_fract_y
_atom_site_fract_z
_atom_site_occupancy
Th1 Th 0.9997 0.9997 0.2504 1
Th2 Th 0.4271 0.2500 0.1074 1
Th3 Th 0.4317 0.2500 0.6074 1
Os1 Os 0.2258 0.7500 0.0557 1
Ru1 Ru 0.2279 0.7500 0.5586 1
```

---

Computed, not measured: crystalline ThOsRu at its relaxed geometry at the PBE level of DFT.

Summary:
energy above the most stable polymorph in this dataset = 0.000 eV/atom
ΔH_f (0 K) = -0.30 eV per atom
E = -9.606 eV/atom

Geometry as CIF:
```
data_ThOsRu
_chemical_formula_sum 'Th4 Os4 Ru4'
_symmetry_space_group_name_H-M 'I m m a'
_symmetry_Int_Tables_number 74
_symmetry_space_group_name_Hall '-I 2b 2'
_cell_length_a 5.1407
_cell_length_b 5.5867
_cell_length_c 7.9678
_cell_angle_alpha 90.00
_cell_angle_beta 90.00
_cell_angle_gamma 90.00
loop_
_atom_site_label
_atom_site_type_symbol
_atom_site_fract_x
_atom_site_fract_y
_atom_site_fract_z
_atom_site_occupancy
Th1 Th 0.0000 0.2500 0.1234 1
Os1 Os 0.2500 0.2500 0.7500 1
Ru1 Ru 0.0000 0.0000 0.5000 1
```

---

Computed, not measured: crystalline TmThOsRu at its relaxed geometry at the PBE level of DFT.

Summary:
ΔH_f (0 K) = -0.35 eV per atom
E = -8.447 eV/atom

Geometry as CIF:
```
data_TmThOsRu
_chemical_formula_sum 'Tm4 Th4 Os4 Ru4'
_symmetry_space_group_name_H-M 'F -4 3 m'
_symmetry_Int_Tables_number 216
_symmetry_space_group_name_Hall 'F -4 2 3'
_cell_length_a 6.9316
_cell_length_b 6.9316
_cell_length_c 6.9316
_cell_angle_alpha 90.00
_cell_angle_beta 90.00
_cell_angle_gamma 90.00
loop_
_atom_site_label
_atom_site_type_symbol
_atom_site_fract_x
_atom_site_fract_y
_atom_site_fract_z
_atom_site_occupancy
Tm1 Tm 0.0000 0.0000 0.0000 1
Th1 Th 0.0000 0.0000 0.5000 1
Os1 Os 0.2500 0.2500 0.7500 1
Ru1 Ru 0.2500 0.2500 0.2500 1
```

---

Computed, not measured: crystalline ThUOsRu at its relaxed geometry at the PBE level of DFT.

Summary:
ΔH_f (0 K) = -0.29 eV per atom
E = -10.094 eV/atom

Geometry as CIF:
```
data_ThUOsRu
_chemical_formula_sum 'Th3 U3 Os3 Ru3'
_symmetry_space_group_name_H-M 'R 3 m'
_symmetry_Int_Tables_number 160
_symmetry_space_group_name_Hall 'R 3 -2"'
_cell_length_a 4.4207
_cell_length_b 4.4207
_cell_length_c 15.7408
_cell_angle_alpha 90.00
_cell_angle_beta 90.00
_cell_angle_gamma 120.00
loop_
_atom_site_label
_atom_site_type_symbol
_atom_site_fract_x
_atom_site_fract_y
_atom_site_fract_z
_atom_site_occupancy
Th1 Th 0.0000 0.0000 0.0000 1
U1 U 0.0000 0.0000 0.4997 1
Os1 Os 0.0000 0.0000 0.2197 1
Ru1 Ru 0.0000 0.0000 0.7900 1
```

---

Computed, not measured: crystalline Ti2OsRu2 at its relaxed geometry at the PBE level of DFT.

Summary:
ΔH_f (0 K) = -0.12 eV per atom
E = -9.233 eV/atom

Geometry as CIF:
```
data_Ti2OsRu2
_chemical_formula_sum 'Ti4 Os2 Ru4'
_symmetry_space_group_name_H-M 'P 4/m b m'
_symmetry_Int_Tables_number 127
_symmetry_space_group_name_Hall '-P 4 2ab'
_cell_length_a 7.0936
_cell_length_b 7.0936
_cell_length_c 2.9946
_cell_angle_alpha 90.00
_cell_angle_beta 90.00
_cell_angle_gamma 90.00
loop_
_atom_site_label
_atom_site_type_symbol
_atom_site_fract_x
_atom_site_fract_y
_atom_site_fract_z
_atom_site_occupancy
Ti1 Ti 0.1733 0.3267 0.0000 1
Os1 Os 0.0000 0.0000 0.5000 1
Ru1 Ru 0.1315 0.6315 0.5000 1
```

---

Computed, not measured: crystalline Ti4Os3Ru at its relaxed geometry at the PBE level of DFT.

Summary:
ΔH_f (0 K) = -0.72 eV per atom
E = -10.042 eV/atom

Geometry as CIF:
```
data_Ti4Os3Ru
_chemical_formula_sum 'Ti4 Os3 Ru1'
_symmetry_space_group_name_H-M 'P 4/m m m'
_symmetry_Int_Tables_number 123
_symmetry_space_group_name_Hall '-P 4 2'
_cell_length_a 3.0884
_cell_length_b 3.0884
_cell_length_c 12.3569
_cell_angle_alpha 90.00
_cell_angle_beta 90.00
_cell_angle_gamma 90.00
loop_
_atom_site_label
_atom_site_type_symbol
_atom_site_fract_x
_atom_site_fract_y
_atom_site_fract_z
_atom_site_occupancy
Ti1 Ti 0.0000 0.0000 0.1251 1
Ti2 Ti 0.0000 0.0000 0.3754 1
Os1 Os 0.5000 0.5000 0.0000 1
Os2 Os 0.5000 0.5000 0.2508 1
Ru1 Ru 0.5000 0.5000 0.5000 1
```

---

Computed, not measured: crystalline Ti6Os5Ru at its relaxed geometry at the PBE level of DFT.

Summary:
ΔH_f (0 K) = -0.72 eV per atom
E = -10.118 eV/atom

Geometry as CIF:
```
data_Ti6Os5Ru
_chemical_formula_sum 'Ti12 Os10 Ru2'
_symmetry_space_group_name_H-M 'C 1 2/m 1'
_symmetry_Int_Tables_number 12
_symmetry_space_group_name_Hall '-C 2y'
_cell_length_a 13.8203
_cell_length_b 6.1687
_cell_length_c 4.3774
_cell_angle_alpha 90.00
_cell_angle_beta 108.40
_cell_angle_gamma 90.00
loop_
_atom_site_label
_atom_site_type_symbol
_atom_site_fract_x
_atom_site_fract_y
_atom_site_fract_z
_atom_site_occupancy
Ti1 Ti 0.0000 0.2503 0.0000 1
Ti2 Ti 0.1666 0.2502 0.6667 1
Os1 Os 0.0000 0.0000 0.5000 1
Os2 Os 0.1664 0.0000 0.1664 1
Os3 Os 0.1668 0.5000 0.1668 1
Ru1 Ru 0.0000 0.5000 0.5000 1
```

---

Computed, not measured: crystalline TiOs2Ru2 at its relaxed geometry at the PBE level of DFT.

Summary:
energy above the most stable polymorph in this dataset = 0.016 eV/atom
ΔH_f (0 K) = 0.06 eV per atom
E = -9.718 eV/atom

Geometry as CIF:
```
data_TiOs2Ru2
_chemical_formula_sum 'Ti2 Os4 Ru4'
_symmetry_space_group_name_H-M 'P 4/m b m'
_symmetry_Int_Tables_number 127
_symmetry_space_group_name_Hall '-P 4 2ab'
_cell_length_a 7.4325
_cell_length_b 7.4325
_cell_length_c 2.7589
_cell_angle_alpha 90.00
_cell_angle_beta 90.00
_cell_angle_gamma 90.00
loop_
_atom_site_label
_atom_site_type_symbol
_atom_site_fract_x
_atom_site_fract_y
_atom_site_fract_z
_atom_site_occupancy
Ti1 Ti 0.0000 0.0000 0.0000 1
Os1 Os 0.1734 0.3266 0.5000 1
Ru1 Ru 0.1232 0.6232 0.0000 1
```

---

Computed, not measured: crystalline TiOs2Ru at its relaxed geometry at the PBE level of DFT.

Summary:
energy above the most stable polymorph in this dataset = 0.352 eV/atom
ΔH_f (0 K) = 0.49 eV per atom
E = -9.422 eV/atom

Geometry as CIF:
```
data_TiOs2Ru
_chemical_formula_sum 'Ti4 Os8 Ru4'
_symmetry_space_group_name_H-M 'I -4 2 d'
_symmetry_Int_Tables_number 122
_symmetry_space_group_name_Hall 'I -4 2bw'
_cell_length_a 3.7153
_cell_length_b 3.7153
_cell_length_c 18.4009
_cell_angle_alpha 90.00
_cell_angle_beta 90.00
_cell_angle_gamma 90.00
loop_
_atom_site_label
_atom_site_type_symbol
_atom_site_fract_x
_atom_site_fract_y
_atom_site_fract_z
_atom_site_occupancy
Ti1 Ti 0.0000 0.0000 0.0000 1
Os1 Os 0.2302 0.2500 0.1250 1
Ru1 Ru 0.0000 0.0000 0.5000 1
```

---

Computed, not measured: crystalline Ti3OsRu at its relaxed geometry at the PBE level of DFT.

Summary:
energy above the most stable polymorph in this dataset = 0.000 eV/atom
ΔH_f (0 K) = 0.78 eV per atom
E = -8.063 eV/atom

Geometry as CIF:
```
data_Ti3OsRu
_chemical_formula_sum 'Ti3 Os1 Ru1'
_symmetry_space_group_name_H-M 'P m -3 m'
_symmetry_Int_Tables_number 221
_symmetry_space_group_name_Hall '-P 4 2 3'
_cell_length_a 4.6525
_cell_length_b 4.6525
_cell_length_c 4.6525
_cell_angle_alpha 90.00
_cell_angle_beta 90.00
_cell_angle_gamma 90.00
loop_
_atom_site_label
_atom_site_type_symbol
_atom_site_fract_x
_atom_site_fract_y
_atom_site_fract_z
_atom_site_occupancy
Ti1 Ti 0.0000 0.0000 0.5000 1
Os1 Os 0.0000 0.0000 0.0000 1
Ru1 Ru 0.5000 0.5000 0.5000 1
```

---

Computed, not measured: crystalline Ti3Os2Ru at its relaxed geometry at the PBE level of DFT.

Summary:
ΔH_f (0 K) = -0.73 eV per atom
E = -9.964 eV/atom

Geometry as CIF:
```
data_Ti3Os2Ru
_chemical_formula_sum 'Ti3 Os2 Ru1'
_symmetry_space_group_name_H-M 'P 4/m m m'
_symmetry_Int_Tables_number 123
_symmetry_space_group_name_Hall '-P 4 2'
_cell_length_a 3.0843
_cell_length_b 3.0843
_cell_length_c 9.2913
_cell_angle_alpha 90.00
_cell_angle_beta 90.00
_cell_angle_gamma 90.00
loop_
_atom_site_label
_atom_site_type_symbol
_atom_site_fract_x
_atom_site_fract_y
_atom_site_fract_z
_atom_site_occupancy
Ti1 Ti 0.0000 0.0000 0.0000 1
Ti2 Ti 0.0000 0.0000 0.3339 1
Os1 Os 0.5000 0.5000 0.1675 1
Ru1 Ru 0.5000 0.5000 0.5000 1
```